1.
Density functional theory data (GGA-PBE) for Li3P7 after structural relaxation.

Lattice parameters (Å, degrees): 7.6265 9.8743 10.5647 90.00 90.00 90.00
Last column: nearest neighbours and their distance in Å.
Atoms (fractional coordinates):
1 Li 0.0701 0.0267 0.0146  4 P 2.52-2.70
2 Li 0.0985 0.8015 0.8097  4 P 2.60-2.65
3 Li 0.1481 0.6917 0.3158  3 P 2.64-2.72, 1 Li 2.94
4 Li 0.3519 0.3083 0.8158  3 P 2.64-2.72, 1 Li 2.94
5 Li 0.4015 0.1985 0.3097  4 P 2.60-2.65
6 Li 0.4299 0.9733 0.5146  4 P 2.52-2.70
7 Li 0.5701 0.4733 0.9854  4 P 2.52-2.70
8 Li 0.5985 0.6985 0.1903  4 P 2.60-2.65
9 Li 0.6481 0.8083 0.6842  3 P 2.64-2.72, 1 Li 2.94
10 Li 0.8519 0.1917 0.1842  3 P 2.64-2.72, 1 Li 2.94
11 Li 0.9015 0.3015 0.6903  4 P 2.60-2.65
12 Li 0.9299 0.5267 0.4854  4 P 2.52-2.70
13 P 0.0329 0.9417 0.5661  3 P 2.15-2.29
14 P 0.0337 0.9290 0.2339  2 P 2.15-2.19
15 P 0.0946 0.6326 0.0046  3 P 2.16-2.26
16 P 0.1297 0.2811 0.0057  2 P 2.15-2.19
17 P 0.1373 0.0471 0.3882  3 P 2.15-2.29
18 P 0.1834 0.4282 0.6188  2 P 2.16-2.18
19 P 0.2195 0.3750 0.1818  3 P 2.18-2.19
20 P 0.2805 0.6250 0.6818  3 P 2.18-2.19
21 P 0.3166 0.5718 0.1188  2 P 2.16-2.18
22 P 0.3627 0.9529 0.8882  3 P 2.15-2.29
23 P 0.3703 0.7189 0.5057  2 P 2.15-2.19
24 P 0.4054 0.3674 0.5046  3 P 2.16-2.26
25 P 0.4663 0.0710 0.7339  2 P 2.15-2.19
26 P 0.4671 0.0583 0.0661  3 P 2.15-2.29
27 P 0.5329 0.5583 0.4339  3 P 2.15-2.29
28 P 0.5337 0.5710 0.7661  2 P 2.15-2.19
29 P 0.5946 0.8674 0.9954  3 P 2.16-2.26
30 P 0.6297 0.2189 0.9943  2 P 2.15-2.19
31 P 0.6373 0.4529 0.6118  3 P 2.15-2.29
32 P 0.6834 0.0718 0.3812  2 P 2.16-2.18
33 P 0.7195 0.1250 0.8182  3 P 2.18-2.19
34 P 0.7805 0.8750 0.3182  3 P 2.18-2.19
35 P 0.8166 0.9282 0.8812  2 P 2.16-2.18
36 P 0.8627 0.5471 0.1118  3 P 2.15-2.29
37 P 0.8703 0.7811 0.4943  2 P 2.15-2.19
38 P 0.9054 0.1326 0.4954  3 P 2.16-2.26
39 P 0.9663 0.4290 0.2661  2 P 2.15-2.19
40 P 0.9671 0.4417 0.9339  3 P 2.15-2.29

Computed properties:
* energy of formation from the pure elements: -359 meV per atom



2.
Density functional theory data (GGA-PBE) for LiP after structural relaxation.

Lattice parameters (Å, degrees): 2.8094 9.0582 4.7103 90.00 90.00 90.00
Last column: nearest neighbours and their distance in Å.
Atoms (fractional coordinates):
1 Li 0.0000 0.1710 0.2500  3 P 2.47-2.49
2 Li 0.0000 0.8290 0.7500  3 P 2.47-2.49
3 Li 0.5000 0.3290 0.7500  3 P 2.47-2.49
4 Li 0.5000 0.6710 0.2500  3 P 2.47-2.49
5 P 0.0000 0.4463 0.2500  3 Li 2.47-2.49, 2 P 2.55
6 P 0.0000 0.5537 0.7500  3 Li 2.47-2.49, 2 P 2.55
7 P 0.5000 0.0537 0.7500  3 Li 2.47-2.49, 2 P 2.55
8 P 0.5000 0.9463 0.2500  3 Li 2.47-2.49, 2 P 2.55

Computed properties:
* distance to the lowest polymorph of the same formula: 25.0 kJ/mol of atoms
* energy of formation from the pure elements: -262 meV per atom



3.
Density functional theory data (GGA-PBE) for LiP after structural relaxation.

Lattice parameters (Å, degrees): 8.3903 3.2606 4.8979 90.00 105.59 90.00
Last column: nearest neighbours and their distance in Å.
Atoms (fractional coordinates):
1 Li 0.0000 0.0000 0.0000  6 P 2.82-3.01, 4 Li 2.94
2 Li 0.0000 0.5000 0.5000  6 P 2.43-2.60
3 Li 0.5000 0.0000 0.5000  6 P 2.43-2.60
4 Li 0.5000 0.5000 0.0000  6 P 2.82-3.01, 4 Li 2.94
5 P 0.2498 0.0000 0.6606  2 P 2.27, 1 Li 2.43
6 P 0.2502 0.5000 0.3394  2 P 2.27, 1 Li 2.43
7 P 0.7502 0.0000 0.3394  2 P 2.27, 1 Li 2.43
8 P 0.7498 0.5000 0.6606  2 P 2.27, 1 Li 2.43

Computed properties:
* distance to the lowest polymorph of the same formula: 8.9 kJ/mol of atoms
* energy of formation from the pure elements: -429 meV per atom



4.
Density functional theory data (GGA-PBE) for LiP7 after structural relaxation.

Lattice parameters (Å, degrees): 12.1680 12.1680 12.1680 111.90 111.90 104.71
Last column: nearest neighbours and their distance in Å.
Atoms (fractional coordinates):
1 Li 0.0061 0.7561 0.5121  6 P 2.68-2.96
2 Li 0.2439 0.2561 0.2500  6 P 2.68-2.96
3 Li 0.2561 0.5061 0.0121  6 P 2.68-2.96
4 Li 0.4939 0.0061 0.7500  6 P 2.68-2.96
5 Li 0.5061 0.9939 0.2500  6 P 2.68-2.96
6 Li 0.7439 0.4939 0.9879  6 P 2.68-2.96
7 Li 0.7561 0.7439 0.7500  6 P 2.68-2.96
8 Li 0.9939 0.2439 0.4879  6 P 2.68-2.96
9 P 0.0002 0.4982 0.6554  3 P 2.22-2.29
10 P 0.9998 0.5018 0.3446  3 P 2.22-2.29
11 P 0.0018 0.4998 0.8446  3 P 2.22-2.29
12 P 0.0093 0.7866 0.8664  3 P 2.21-2.23
13 P 0.0798 0.7134 0.7227  3 P 2.21-2.23
14 P 0.0848 0.0882 0.8755  3 P 2.21-2.22
15 P 0.0882 0.7127 0.0034  3 P 2.21-2.22
16 P 0.1429 0.0093 0.7227  3 P 2.21-2.23
17 P 0.1551 0.1571 0.6554  3 P 2.22-2.29
18 P 0.1571 0.0018 0.0020  3 P 2.22-2.29
19 P 0.2093 0.0848 0.4966  3 P 2.21-2.22
20 P 0.2106 0.2500 0.4606  2 P 2.21
21 P 0.2134 0.5798 0.2227  3 P 2.21-2.23
22 P 0.2127 0.5882 0.5034  3 P 2.21-2.22
23 P 0.2500 0.2894 0.0394  2 P 2.21
24 P 0.2500 0.7894 0.5394  2 P 2.21
25 P 0.2866 0.5093 0.3664  3 P 2.21-2.23
26 P 0.2873 0.7907 0.3755  3 P 2.21-2.22
27 P 0.2894 0.7500 0.0394  2 P 2.21
28 P 0.2907 0.7873 0.8755  3 P 2.21-2.22
29 P 0.3429 0.3449 0.8446  3 P 2.22-2.29
30 P 0.3449 0.0002 0.0020  3 P 2.22-2.29
31 P 0.3571 0.0798 0.8664  3 P 2.21-2.23
32 P 0.4118 0.4152 0.6245  3 P 2.21-2.22
33 P 0.4152 0.2907 0.0034  3 P 2.21-2.22
34 P 0.4202 0.1429 0.6336  3 P 2.21-2.23
35 P 0.4907 0.3571 0.7773  3 P 2.21-2.23
36 P 0.4982 0.3429 0.4980  3 P 2.22-2.29
37 P 0.4998 0.1551 0.4980  3 P 2.22-2.29
38 P 0.5002 0.8449 0.5020  3 P 2.22-2.29
39 P 0.5018 0.6571 0.5020  3 P 2.22-2.29
40 P 0.5093 0.6429 0.2227  3 P 2.21-2.23
41 P 0.5798 0.8571 0.3664  3 P 2.21-2.23
42 P 0.5848 0.7093 0.9966  3 P 2.21-2.22
43 P 0.5882 0.5848 0.3755  3 P 2.21-2.22
44 P 0.6429 0.9202 0.1336  3 P 2.21-2.23
45 P 0.6551 0.9998 0.9980  3 P 2.22-2.29
46 P 0.6571 0.6551 0.1554  3 P 2.22-2.29
47 P 0.7093 0.2127 0.1245  3 P 2.21-2.22
48 P 0.7106 0.2500 0.9606  2 P 2.21
49 P 0.7127 0.2093 0.6245  3 P 2.21-2.22
50 P 0.7134 0.4907 0.6336  3 P 2.21-2.23
51 P 0.7500 0.2106 0.4606  2 P 2.21
52 P 0.7500 0.7106 0.9606  2 P 2.21
53 P 0.7873 0.4118 0.4966  3 P 2.21-2.22
54 P 0.7866 0.4202 0.7773  3 P 2.21-2.23
55 P 0.7894 0.7500 0.5394  2 P 2.21
56 P 0.7907 0.9152 0.5034  3 P 2.21-2.22
57 P 0.8429 0.9982 0.9980  3 P 2.22-2.29
58 P 0.8449 0.8429 0.3446  3 P 2.22-2.29
59 P 0.8571 0.9907 0.2773  3 P 2.21-2.23
60 P 0.9118 0.2873 0.9966  3 P 2.21-2.22
61 P 0.9152 0.9118 0.1245  3 P 2.21-2.22
62 P 0.9202 0.2866 0.2773  3 P 2.21-2.23
63 P 0.9907 0.2134 0.1336  3 P 2.21-2.23
64 P 0.9982 0.5002 0.1554  3 P 2.22-2.29

Computed properties:
* distance to the lowest polymorph of the same formula: 0.0 kJ/mol of atoms
* energy of formation from the pure elements: -157 meV per atom



5.
Density functional theory data (GGA-PBE) for LiP5 after structural relaxation.

Lattice parameters (Å, degrees): 10.5021 6.6814 6.5982 90.00 90.00 90.00
Last column: nearest neighbours and their distance in Å.
Atoms (fractional coordinates):
1 Li 0.0785 0.0443 0.0000  3 P 2.55-2.64
2 Li 0.4215 0.5443 0.5000  3 P 2.55-2.64
3 Li 0.5785 0.4557 0.0000  3 P 2.55-2.64
4 Li 0.9215 0.9557 0.5000  3 P 2.55-2.64
5 P 0.0844 0.5853 0.3684  3 P 2.23-2.25
6 P 0.0929 0.5991 0.8529  3 P 2.23-2.25
7 P 0.1289 0.1110 0.6284  2 P 2.19
8 P 0.1916 0.4456 0.1102  3 P 2.19-2.25
9 P 0.1927 0.4224 0.6102  3 P 2.19-2.25
10 P 0.3073 0.9224 0.1102  3 P 2.19-2.25
11 P 0.3084 0.9456 0.6102  3 P 2.19-2.25
12 P 0.3711 0.6110 0.1284  2 P 2.19
13 P 0.4071 0.0991 0.3529  3 P 2.23-2.25
14 P 0.4156 0.0853 0.8684  3 P 2.23-2.25
15 P 0.5844 0.9147 0.3684  3 P 2.23-2.25
16 P 0.5929 0.9009 0.8529  3 P 2.23-2.25
17 P 0.6289 0.3890 0.6284  2 P 2.19
18 P 0.6916 0.0544 0.1102  3 P 2.19-2.25
19 P 0.6927 0.0776 0.6102  3 P 2.19-2.25
20 P 0.8073 0.5776 0.1102  3 P 2.19-2.25
21 P 0.8084 0.5544 0.6102  3 P 2.19-2.25
22 P 0.8711 0.8890 0.1284  2 P 2.19
23 P 0.9071 0.4009 0.3529  3 P 2.23-2.25
24 P 0.9156 0.4147 0.8684  3 P 2.23-2.25

Computed properties:
* distance to the lowest polymorph of the same formula: 0.0 kJ/mol of atoms
* energy of formation from the pure elements: -192 meV per atom



6.
Density functional theory data (GGA-PBE) for Li3P5 after structural relaxation.

Lattice parameters (Å, degrees): 6.9045 7.7792 4.1451 90.00 90.00 90.00
Last column: nearest neighbours and their distance in Å.
Atoms (fractional coordinates):
1 Li 0.0000 0.0000 0.0000  8 P 2.60-2.71, 4 Li 2.86
2 Li 0.2149 0.5000 0.5000  10 P 2.55-2.85
3 Li 0.2851 0.0000 0.5000  10 P 2.55-2.85
4 Li 0.5000 0.5000 0.0000  8 P 2.60-2.71, 4 Li 2.86
5 Li 0.7149 0.0000 0.5000  10 P 2.55-2.85
6 Li 0.7851 0.5000 0.5000  10 P 2.55-2.85
7 P 0.0000 0.2237 0.5000  6 Li 2.61-2.71, 4 P 2.70
8 P 0.0000 0.5000 0.0000  4 Li 2.55, 4 P 2.60
9 P 0.0000 0.7763 0.5000  6 Li 2.61-2.71, 4 P 2.70
10 P 0.2500 0.2500 0.0000  6 Li 2.60-2.85, 6 P 2.60-2.70
11 P 0.2500 0.7500 0.0000  6 Li 2.60-2.85, 6 P 2.60-2.70
12 P 0.5000 0.0000 0.0000  4 Li 2.55, 4 P 2.60
13 P 0.5000 0.2763 0.5000  6 Li 2.61-2.71, 4 P 2.70
14 P 0.5000 0.7237 0.5000  6 Li 2.61-2.71, 4 P 2.70
15 P 0.7500 0.2500 0.0000  6 Li 2.60-2.85, 6 P 2.60-2.70
16 P 0.7500 0.7500 0.0000  6 Li 2.60-2.85, 6 P 2.60-2.70

Computed properties:
* distance to the lowest polymorph of the same formula: 14.5 kJ/mol of atoms
* energy of formation from the pure elements: -33 meV per atom